# Mg6SiNiO8 (PBE+U, optimized geometry)
# - Energy: -92.27 eV/f.u.
# - Calculated density: 3.78 g/cm3
# - Total magnetization: 1.681 μB/cell
# - Density of states at the Fermi level: 0.06 states/eV/atom
data_Mg6SiNiO8
_symmetry_space_group_name_H-M 'P 4/m m m'
_symmetry_Int_Tables_number 123
_symmetry_space_group_name_Hall '-P 4 2'
_cell_length_a 4.292
_cell_length_b 4.292
_cell_length_c 8.595
_cell_angle_alpha 90.00
_cell_angle_beta 90.00
_cell_angle_gamma 90.00
loop_
_atom_site_label
_atom_site_type_symbol
_atom_site_fract_x
_atom_site_fract_y
_atom_site_fract_z
Mg1 Mg 0.000 0.000 0.000
Mg2 Mg 0.000 0.500 0.249
Mg3 Mg 0.500 0.500 0.000
Si1 Si 0.000 0.000 0.500
Ni1 Ni 0.500 0.500 0.500
O1 O 0.000 0.000 0.244
O2 O 0.000 0.500 0.000
O3 O 0.000 0.500 0.500
O4 O 0.500 0.500 0.247